Record 1
A geometry-optimized NbNi2Pd structure, computed with GGA-PBE.

Summary:
Crystal system   orthorhombic

abc: 4.623 4.396 5.362
angles: 90.00 90.00 89.99
Element x y z (fractional)
1 Pd 0.820 0.750 0.750
2 Pd 0.180 0.250 0.250
3 Ni 0.665 0.250 0.000
4 Ni 0.665 0.250 0.500
5 Ni 0.335 0.750 0.000
6 Ni 0.335 0.750 0.500
7 Nb 0.827 0.750 0.250
8 Nb 0.173 0.250 0.750


Record 2
A geometry-optimized NbNi2Pd structure, computed with GGA-PBE.

Summary:
Crystal system   tetragonal

abc: 6.737 6.737 5.440
angles: 51.74 51.74 90.00
Element x y z (fractional)
1 Pd 0.000 0.000 0.000
2 Pd 0.750 0.250 0.500
3 Ni 0.617 0.125 0.250
4 Ni 0.875 0.867 0.750
5 Ni 0.375 0.383 0.750
6 Ni 0.133 0.625 0.250
7 Nb 0.500 0.500 0.000
8 Nb 0.250 0.750 0.500


Record 3
A geometry-optimized Nb2NiPd5 structure, computed with GGA-PBE.

Summary:
Crystal system   orthorhombic

abc: 3.930 5.600 11.171
angles: 90.00 90.00 90.00
Element x y z (fractional)
1 Ni 0.000 0.000 0.500
2 Ni 0.000 0.500 0.000
3 Pd 0.000 0.000 0.747
4 Pd 0.000 0.500 0.753
5 Pd 0.500 0.746 0.122
6 Pd 0.500 0.254 0.878
7 Pd 0.000 0.000 0.000
8 Pd 0.500 0.754 0.622
9 Pd 0.500 0.246 0.378
10 Pd 0.000 0.500 0.500
11 Pd 0.000 0.500 0.247
12 Pd 0.000 0.000 0.253
13 Nb 0.500 0.240 0.621
14 Nb 0.500 0.260 0.121
15 Nb 0.500 0.740 0.879
16 Nb 0.500 0.760 0.379


Record 4
A geometry-optimized NbNiPd5 structure, computed with GGA-PBE.

Summary:
Crystal system   tetragonal

abc: 4.037 4.037 6.826
angles: 90.00 90.00 90.00
Element x y z (fractional)
1 Pd 0.500 0.500 0.500
2 Pd 0.500 0.000 0.222
3 Pd 0.000 0.500 0.778
4 Pd 0.000 0.500 0.222
5 Pd 0.500 0.000 0.778
6 Nb 0.000 0.000 0.500
7 Ni 0.500 0.500 0.000


Record 5
A geometry-optimized NbNi2Pd structure, computed with GGA-PBE.

Summary:
Crystal system   orthorhombic

abc: 8.743 8.743 4.724
angles: 90.00 90.00 161.53
Element x y z (fractional)
1 Pd 0.137 0.863 0.250
2 Pd 0.863 0.137 0.750
3 Ni 0.234 0.766 0.750
4 Ni 0.000 0.000 0.500
5 Ni 0.766 0.234 0.250
6 Ni 0.000 0.000 0.000
7 Nb 0.611 0.389 0.750
8 Nb 0.389 0.611 0.250


Record 6
A geometry-optimized NbNiPd6 structure, computed with GGA-PBE.

Summary:
Crystal system   triclinic

abc: 7.291 7.285 5.020
angles: 43.23 43.39 59.79
Element x y z (fractional)
1 Ni 0.000 0.000 0.000
2 Pd 0.029 0.469 0.750
3 Pd 0.248 0.972 0.247
4 Pd 0.535 0.248 0.249
5 Pd 0.971 0.531 0.250
6 Pd 0.465 0.752 0.751
7 Pd 0.752 0.028 0.753
8 Nb 0.500 0.500 0.500


Record 7
A geometry-optimized NbNi2Pd3 structure, computed with GGA-PBE.

Summary:
Crystal system   monoclinic

abc: 5.540 5.540 6.430
angles: 79.44 79.44 106.59
Element x y z (fractional)
1 Ni 0.699 0.089 0.619
2 Ni 0.911 0.301 0.881
3 Ni 0.301 0.911 0.381
4 Ni 0.089 0.699 0.119
5 Pd 0.606 0.794 0.056
6 Pd 0.794 0.606 0.556
7 Pd 0.206 0.394 0.444
8 Pd 0.656 0.344 0.250
9 Pd 0.344 0.656 0.750
10 Pd 0.394 0.206 0.944
11 Nb 0.944 0.056 0.250
12 Nb 0.056 0.944 0.750


Record 8
A geometry-optimized Nb3NiPd structure, computed with GGA-PBE.

Summary:
Crystal system   cubic

abc: 4.588 4.588 4.588
angles: 90.00 90.00 90.00
Element x y z (fractional)
1 Nb 0.500 0.000 0.000
2 Nb 0.000 0.500 0.000
3 Nb 0.000 0.000 0.500
4 Ni 0.000 0.000 0.000
5 Pd 0.500 0.500 0.500


Record 9
A geometry-optimized Nb2NiPd6 structure, computed with GGA-PBE.

Summary:
Crystal system   tetragonal

abc: 3.922 8.378 8.379
angles: 90.00 90.00 90.00
Element x y z (fractional)
1 Pd 0.000 0.001 0.175
2 Pd 0.500 0.175 0.998
3 Pd 0.000 0.999 0.825
4 Pd 0.500 0.499 0.675
5 Pd 0.000 0.340 0.160
6 Pd 0.500 0.501 0.325
7 Pd 0.000 0.660 0.840
8 Pd 0.000 0.675 0.502
9 Pd 0.500 0.160 0.660
10 Pd 0.500 0.840 0.340
11 Pd 0.500 0.825 0.002
12 Pd 0.000 0.325 0.498
13 Ni 0.000 0.000 0.500
14 Ni 0.500 0.500 0.000
15 Nb 0.000 0.666 0.166
16 Nb 0.500 0.166 0.334
17 Nb 0.500 0.834 0.666
18 Nb 0.000 0.334 0.834


Record 10
A geometry-optimized Nb2Ni2Pd structure, computed with GGA-PBE.

Summary:
Crystal system   tetragonal

abc: 7.501 7.501 2.739
angles: 90.00 90.00 90.00
Element x y z (fractional)
1 Nb 0.166 0.334 0.000
2 Nb 0.334 0.834 0.000
3 Nb 0.666 0.166 0.000
4 Nb 0.834 0.666 0.000
5 Pd 0.500 0.500 0.000
6 Pd 0.000 0.000 0.000
7 Ni 0.874 0.374 0.500
8 Ni 0.126 0.626 0.500
9 Ni 0.626 0.874 0.500
10 Ni 0.374 0.126 0.500


Record 11
A geometry-optimized Nb3NiPd structure, computed with GGA-PBE.

Summary:
Crystal system   cubic

abc: 4.811 4.811 4.811
angles: 90.00 90.00 90.00
Element x y z (fractional)
1 Nb 0.500 0.000 0.000
2 Nb 0.000 0.500 0.000
3 Nb 0.000 0.000 0.500
4 Ni 0.500 0.500 0.500
5 Pd 0.000 0.000 0.000


Record 12
A geometry-optimized Nb2NiPd6 structure, computed with GGA-PBE.

Summary:
Crystal system   orthorhombic

abc: 3.961 6.190 6.338
angles: 84.26 71.79 71.34
Element x y z (fractional)
1 Pd 0.990 0.185 0.836
2 Pd 0.335 0.830 0.500
3 Pd 0.010 0.815 0.164
4 Pd 0.326 0.185 0.164
5 Pd 0.674 0.815 0.836
6 Pd 0.665 0.170 0.500
7 Nb 0.651 0.500 0.198
8 Nb 0.349 0.500 0.802
9 Ni 0.000 0.500 0.500


Number 1: energy -6.997 eV/atom, energy of formation -0.290 eV/atom, total moment 0.0000 μB per atom. Number 2: energy -6.491 eV/atom, energy of formation 0.215 eV/atom, total moment 0.0000 μB per atom. Number 3: energy -6.729 eV/atom, energy of formation -0.243 eV/atom, total moment 0.2560 μB per atom. Number 4: energy -6.122 eV/atom, energy of formation -0.148 eV/atom, total moment 0.1845 μB per atom. Number 5: energy -6.709 eV/atom, energy of formation -0.002 eV/atom, total moment 0.0000 μB per atom. Number 6: energy -5.953 eV/atom, energy of formation -0.077 eV/atom, total moment 0.1524 μB per atom. Number 7: energy -6.266 eV/atom, energy of formation -0.064 eV/atom, total moment 0.0000 μB per atom. Number 8: energy -7.462 eV/atom, energy of formation 0.775 eV/atom, total moment 0.0000 μB per atom. Number 9: energy -6.702 eV/atom, energy of formation -0.360 eV/atom, total moment 0.0000 μB per atom. Number 10: energy -7.352 eV/atom, energy of formation 0.027 eV/atom, total moment 0.0000 μB per atom. Number 11: energy -6.685 eV/atom, energy of formation 1.551 eV/atom, total moment 0.0001 μB per atom. Number 12: energy -6.631 eV/atom, energy of formation -0.289 eV/atom, total moment 0.0000 μB per atom.